# TlBiSb2Pb4

Crystalline TlBiSb2Pb4 at its relaxed geometry (PBE, the Alexandria database).

Unit cell a=5.5412 b=6.8875 c=15.2822 alpha=90.00 beta=90.00 gamma=113.72
Closest atoms and distances in Å follow each position.
Element x y z (fractional)
Pb 0.0000 0.0000 0.5000  4 Sb 3.37, 2 Pb 3.39
Pb 0.2548 0.5097 0.4289  3 Sb 3.19-3.45, 4 Pb 3.29-3.52
Sb 0.4045 0.8089 0.5976  1 Bi 3.10, 6 Pb 3.19-3.45
Tl 0.9392 0.8785 0.7500  4 Pb 3.43-3.67, 4 Sb 3.65, 3 Bi 3.72-3.82
Pb 0.0000 0.0000 0.0000  4 Sb 3.37, 2 Pb 3.39
Sb 0.4045 0.8089 0.9024  1 Bi 3.10, 6 Pb 3.19-3.45
Bi 0.7579 0.5158 0.2500  2 Sb 3.10, 2 Pb 3.30
Pb 0.7452 0.4903 0.5711  3 Sb 3.19-3.45, 4 Pb 3.29-3.52
Pb 0.5998 0.1995 0.7500  2 Pb 3.29, 2 Bi 3.30, 2 Sb 3.39, 2 Tl 3.43
Bi 0.2421 0.4842 0.7500  2 Sb 3.10, 2 Pb 3.30
Pb 0.2548 0.5097 0.0711  3 Sb 3.19-3.45, 4 Pb 3.29-3.52
Pb 0.7452 0.4903 0.9289  3 Sb 3.19-3.45, 4 Pb 3.29-3.52
Sb 0.5955 0.1911 0.4024  1 Bi 3.10, 6 Pb 3.19-3.45
Sb 0.5955 0.1911 0.0976  1 Bi 3.10, 6 Pb 3.19-3.45
Pb 0.4002 0.8005 0.2500  2 Pb 3.29, 2 Bi 3.30, 2 Sb 3.39, 2 Tl 3.43
Tl 0.0608 0.1215 0.2500  4 Pb 3.43-3.67, 4 Sb 3.65, 3 Bi 3.72-3.82

Results
The density of states at the Fermi level is 0.4617 states/eV/atom. The volume comes out at 533.98 Å³/cell. The raw total energy is -3.59 eV per atom.



# YBN2

Crystalline YBN2 at its relaxed geometry (PBE, the Alexandria database).

Unit cell a=5.4346 b=5.4346 c=5.4346 alpha=39.14 beta=39.14 gamma=39.14
Closest atoms and distances in Å follow each position.
Element x y z (fractional)
B 0.0000 0.0000 0.0000  2 N 1.34
N 0.0892 0.0892 0.0892  1 B 1.34
Y 0.5000 0.5000 0.5000  6 N 2.40
N 0.9108 0.9108 0.9108  1 B 1.34

Results
The density of states at the Fermi level is 0.0000 states/eV/atom. The volume comes out at 57.52 Å³/cell. The raw total energy is -8.82 eV per atom.



# ZrTcPb2

Crystalline ZrTcPb2 at its relaxed geometry (PBE, the Alexandria database).

Unit cell a=9.8961 b=9.8961 c=9.8961 alpha=19.68 beta=19.68 gamma=19.68
Closest atoms and distances in Å follow each position.
Element x y z (fractional)
Pb 0.2367 0.2367 0.2367  3 Tc 2.96
Zr 0.7643 0.7643 0.7643  3 Tc 2.68
Pb 0.0051 0.0051 0.0051  3 Zr 3.33, 9 Pb 3.38-3.55
Tc 0.4938 0.4938 0.4938  3 Zr 2.68, 3 Pb 2.96

Results
The density of states at the Fermi level is 0.4807 states/eV/atom. The volume comes out at 96.10 Å³/cell. As for the energy above the most stable polymorph in this dataset: 0.40 eV per formula unit. The formation energy from the elements is 158 meV per atom.



# Ce2ZnGa4Pd3

Crystalline Ce2ZnGa4Pd3 at its relaxed geometry (PBE, the Alexandria database).

Unit cell a=4.2642 b=4.2642 c=10.5940 alpha=90.00 beta=90.00 gamma=90.00
Closest atoms and distances in Å follow each position.
Element x y z (fractional)
Ce 0.0000 0.5000 0.7533  6 Pd 3.25-3.43, 8 Ga 3.27-3.37, 2 Zn 3.43
Pd 0.5000 0.0000 0.8673  5 Ga 2.48-2.55
Pd 0.0000 0.5000 0.1327  5 Ga 2.48-2.55
Zn 0.5000 0.5000 0.5000  4 Ga 2.56
Ga 0.5000 0.5000 0.0000  4 Pd 2.55
Ga 0.0000 0.0000 0.0000  4 Pd 2.55
Pd 0.0000 0.0000 0.5000  4 Ga 2.56
Ga 0.5000 0.0000 0.6335  3 Pd 2.48-2.56, 2 Zn 2.56
Ce 0.5000 0.0000 0.2467  6 Pd 3.25-3.43, 8 Ga 3.27-3.37, 2 Zn 3.43
Ga 0.0000 0.5000 0.3665  3 Pd 2.48-2.56, 2 Zn 2.56

Results
The density of states at the Fermi level is 1.3092 states/eV/atom. The volume comes out at 192.64 Å³/cell. The formation energy from the elements is -679 meV per atom.



# TmZn9Fe3

Crystalline TmZn9Fe3 at its relaxed geometry (PBE, the Alexandria database).

Unit cell a=5.0506 b=6.7576 c=6.6331 alpha=81.38 beta=67.62 gamma=66.81
Closest atoms and distances in Å follow each position.
Element x y z (fractional)
Fe 0.0000 0.0000 0.5000  8 Zn 2.50-2.65, 2 Fe 2.53
Fe 0.5000 0.0000 0.5000  8 Zn 2.50-2.65, 2 Fe 2.53
Fe 0.5000 0.5000 0.0000  10 Zn 2.53-2.61
Zn 0.5038 0.2212 0.7760  3 Fe 2.50-2.56, 5 Zn 2.53-2.75
Zn 0.4962 0.7788 0.2240  3 Fe 2.50-2.56, 5 Zn 2.53-2.75
Zn 0.0154 0.6630 0.3459  3 Fe 2.60-2.65, 6 Zn 2.64-2.85
Tm 0.0000 0.0000 0.0000  12 Zn 2.98-3.22, 6 Fe 3.32-3.33
Zn 0.3614 0.6630 0.6541  3 Fe 2.60-2.65, 6 Zn 2.64-2.85
Zn 0.0000 0.5000 0.0000  2 Fe 2.53, 8 Zn 2.53-2.73
Zn 0.7202 0.7788 0.7760  3 Fe 2.50-2.56, 5 Zn 2.53-2.75
Zn 0.2798 0.2212 0.2240  3 Fe 2.50-2.56, 5 Zn 2.53-2.75
Zn 0.6387 0.3370 0.3459  3 Fe 2.60-2.65, 6 Zn 2.64-2.85
Zn 0.9846 0.3370 0.6541  3 Fe 2.60-2.65, 6 Zn 2.64-2.85

Results
The density of states at the Fermi level is 0.8067 states/eV/atom. The volume comes out at 192.43 Å³/cell. The formation energy from the elements is -89 meV per atom.



# HfBeTe

Crystalline HfBeTe at its relaxed geometry (PBE, the Alexandria database).

Unit cell a=3.6958 b=3.6855 c=10.2319 alpha=79.97 beta=89.70 gamma=90.00
Closest atoms and distances in Å follow each position.
Element x y z (fractional)
Hf 0.8235 0.3871 0.8498  6 Be 2.61-2.74
Be 0.3261 0.4759 0.6663  2 Be 2.10
Be 0.3247 0.9272 0.7670  2 Be 2.10
Te 0.3295 0.5912 0.4278  1 Be 2.40
Hf 0.8273 0.0160 0.5834  6 Be 2.61-2.74
Te 0.3213 0.8119 0.0054  1 Be 2.40

Results
The density of states at the Fermi level is 0.3262 states/eV/atom. The volume comes out at 137.24 Å³/cell. As for the energy above the most stable polymorph in this dataset: 0.01 eV per formula unit.



# Pu2InGe

Crystalline Pu2InGe at its relaxed geometry (PBE, the Alexandria database).

Unit cell a=3.4073 b=3.4073 c=10.2986 alpha=80.48 beta=80.48 gamma=60.00
Closest atoms and distances in Å follow each position.
Element x y z (fractional)
Pu 0.7411 0.7411 0.7768  3 Ge 2.99
In 0.5000 0.5000 0.5000  6 In 3.41, 6 Pu 3.42
Ge 0.0000 0.0000 0.0000  6 Pu 2.99
Pu 0.2589 0.2589 0.2232  3 Ge 2.99

Results
The density of states at the Fermi level is 3.8251 states/eV/atom. The volume comes out at 101.64 Å³/cell. The formation energy from the elements is -77 meV per atom.



# Cs2K2In

Crystalline Cs2K2In at its relaxed geometry (PBE, the Alexandria database).

Unit cell a=9.6418 b=9.6418 c=7.4754 alpha=90.00 beta=90.00 gamma=90.00
Closest atoms and distances in Å follow each position.
Element x y z (fractional)
In 0.5000 0.5000 0.0000  4 K 3.64
K 0.1559 0.3441 0.0000  2 In 3.64
Cs 0.3104 0.1896 0.5000  2 K 4.29
K 0.6559 0.1559 0.0000  2 In 3.64
Cs 0.6896 0.8104 0.5000  2 K 4.29
Cs 0.8104 0.3104 0.5000  2 K 4.29
K 0.8441 0.6559 0.0000  2 In 3.64
Cs 0.1896 0.6896 0.5000  2 K 4.29
K 0.3441 0.8441 0.0000  2 In 3.64
In 0.0000 0.0000 0.0000  4 K 3.64

Results
The density of states at the Fermi level is 0.8206 states/eV/atom. The volume comes out at 694.94 Å³/cell. The formation energy from the elements is 97 meV per atom.



# AcB3O6

Crystalline AcB3O6 at its relaxed geometry (PBE, the Alexandria database).

Unit cell a=4.2005 b=6.8534 c=6.8534 alpha=115.94 beta=101.79 gamma=101.79
Closest atoms and distances in Å follow each position.
Element x y z (fractional)
O 0.4865 0.3807 0.3807  1 B 1.26
B 0.9647 0.0000 0.4392  2 O 1.26-1.27
O 0.5794 0.7454 0.7454  1 B 1.27
O 0.1059 0.6193 0.0000  1 B 1.26
O 0.8340 0.2546 0.0000  1 B 1.27
B 0.5255 0.5608 0.5608  2 O 1.26-1.27
O 0.1059 0.0000 0.6193  1 B 1.26
B 0.9647 0.4392 0.0000  2 O 1.26-1.27
Ac 0.2604 0.0000 0.0000  9 O 2.56-2.74
O 0.8340 0.0000 0.2546  1 B 1.27

Results
The density of states at the Fermi level is 0.0000 states/eV/atom. The volume comes out at 163.73 Å³/cell. As for the energy above the most stable polymorph in this dataset: 2.51 eV per formula unit.



# BaIn2RuO8

Crystalline BaIn2RuO8 at its relaxed geometry (PBE, the Alexandria database).

Unit cell a=5.1673 b=4.5012 c=7.0993 alpha=79.73 beta=87.71 gamma=89.82
Closest atoms and distances in Å follow each position.
Element x y z (fractional)
O 0.5126 0.7610 0.4934  2 In 2.17-2.31, 2 O 2.17-2.34
In 0.4894 0.5308 0.2286  6 O 2.13-2.32
O 0.0973 0.6996 0.2194  1 Ru 1.95, 1 In 2.16
O 0.9027 0.3004 0.7806  1 Ru 1.95, 1 In 2.16
Ba 0.0000 0.0000 0.5000  8 O 2.63-2.86
O 0.8132 0.2006 0.1620  1 Ru 1.83
O 0.6813 0.7607 0.9729  1 Ru 2.00, 1 In 2.13
O 0.4874 0.2390 0.5066  2 In 2.17-2.31, 2 O 2.17-2.34
O 0.1868 0.7994 0.8380  1 Ru 1.83
Ru 0.0000 0.0000 0.0000  6 O 1.83-2.00
In 0.5106 0.4692 0.7714  6 O 2.13-2.32
O 0.3187 0.2393 0.0271  1 Ru 2.00, 1 In 2.13

Results
The density of states at the Fermi level is 0.2115 states/eV/atom. The volume comes out at 162.34 Å³/cell. The raw total energy is -5.88 eV per atom.